A plane-wave DFT calculation with GGA-PBE was carried out for a relaxed Mg2ZnAsO6 crystal.

For the energy relative to the elements, uncorrected, the calculation gives -1.593 eV per atom. For the density, the calculation gives 3.4 g cm⁻³. The value obtained for the magnetic moment is 0.10 μB per atom. The calculation puts the energy at -5.48 eV per atom.

Lattice parameters (Å, degrees): 7.8099 7.8099 5.4968 108.26 108.26 104.90
Closest atoms and distances in Å follow each position.
Atoms (fractional coordinates):
Mg: 0.0486 0.2122 0.1506  5 O 1.95-2.12
Mg: 0.2122 0.0486 0.6506  5 O 1.95-2.12
Mg: 0.7878 0.9514 0.3494  5 O 1.95-2.12
Mg: 0.9514 0.7878 0.8494  5 O 1.95-2.12
Zn: 0.3312 0.6688 0.7500  4 O 2.03-2.08
Zn: 0.6688 0.3312 0.2500  4 O 2.03-2.08
As: 0.3193 0.6807 0.2500  4 O 1.73-1.74
As: 0.6807 0.3193 0.7500  4 O 1.73-1.74
O: 0.0518 0.1822 0.4918  3 Mg 1.95-2.08
O: 0.1380 0.6434 0.9378  1 As 1.73
O: 0.1822 0.0518 0.9918  3 Mg 1.95-2.08
O: 0.2830 0.4908 0.3536  1 As 1.74
O: 0.3566 0.8620 0.5622  1 As 1.73
O: 0.4908 0.2830 0.8536  1 As 1.74
O: 0.5092 0.7170 0.1464  1 As 1.74
O: 0.6434 0.1380 0.4378  1 As 1.73
O: 0.7170 0.5092 0.6464  1 As 1.74
O: 0.8178 0.9482 0.0082  3 Mg 1.95-2.08
O: 0.8620 0.3566 0.0622  1 As 1.73
O: 0.9482 0.8178 0.5082  3 Mg 1.95-2.08